Density functional theory data (GGA-PBE) for a relaxed structure of ErAu2.

## Properties
The calculation puts the energy of formation from the pure elements at -527 meV per atom. As for the space group: Fd-3m, No. 227.

Structure (POSCAR):
```
ErAu2
1.0
0.000 3.991 3.991
3.991 0.000 3.991
3.991 3.991 0.000
Er Au
2 4
Cartesian
0.998 0.998 0.998
6.984 6.984 6.984
3.991 1.995 1.995
1.995 3.991 1.995
1.995 1.995 3.991
3.991 3.991 3.991
```


Density functional theory data (GGA-PBE) for a relaxed structure of Er4Au.

## Properties
The calculation puts the energy of formation from the pure elements at -232 meV per atom. As for the space group: Fdd2, No. 43.

Structure (POSCAR):
```
Er4Au
1.0
0.000 6.711 3.724
5.884 0.000 3.724
5.884 6.711 0.000
Er Au
8 2
Cartesian
6.798 1.503 3.724
3.856 1.853 1.862
7.468 5.811 2.265
2.028 4.858 1.862
4.526 4.256 4.127
4.300 7.611 2.265
7.242 9.166 4.127
4.970 11.919 3.724
5.884 6.711 4.828
8.826 10.066 6.690
```


Density functional theory data (GGA-PBE) for a relaxed structure of ErAu4.

## Properties
The calculation puts the energy of formation from the pure elements at -600 meV per atom. As for the space group: I4/m, No. 87.

Structure (POSCAR):
```
ErAu4
1.0
-3.393 3.393 2.099
3.393 -3.393 2.099
3.393 3.393 -2.099
Er Au
1 4
Cartesian
0.000 0.000 0.000
2.715 1.358 0.000
2.035 -0.678 2.099
1.358 4.071 0.000
0.678 2.035 2.099
```


Density functional theory data (GGA-PBE) for a relaxed structure of Er2Au13.

## Properties
The calculation puts the energy of formation from the pure elements at -197 meV per atom. As for the space group: R-3m, No. 166.

Structure (POSCAR):
```
Er2Au13
1.0
3.916 2.261 6.894
-3.916 2.261 6.894
0.000 -4.521 6.894
Er Au
2 13
Cartesian
0.000 0.000 4.817
0.000 0.000 15.865
0.000 0.000 0.000
0.000 -2.850 4.653
-2.468 1.425 4.653
0.000 -1.623 7.326
-1.405 0.811 7.326
-2.468 -1.425 16.029
-1.405 -0.811 13.356
1.405 0.811 7.326
2.468 1.425 4.653
1.405 -0.811 13.356
0.000 1.623 13.356
2.468 -1.425 16.029
0.000 2.850 16.029
```


Density functional theory data (GGA-PBE) for a relaxed structure of ErAu2.

## Properties
The calculation puts the energy of formation from the pure elements at -878 meV per atom. As for the space group: I4/mmm, No. 139.

Structure (POSCAR):
```
ErAu2
1.0
-1.857 1.857 4.522
1.857 -1.857 4.522
1.857 1.857 -4.522
Er Au
1 2
Cartesian
0.000 0.000 0.000
0.000 0.000 3.034
0.000 0.000 6.010
```


Density functional theory data (GGA-PBE) for a relaxed structure of Er3Au5.

## Properties
The calculation puts the energy of formation from the pure elements at -825 meV per atom. As for the space group: P-62m, No. 189.

Structure (POSCAR):
```
Er3Au5
1.0
7.435 0.000 0.000
-3.717 6.439 0.000
0.000 0.000 3.684
Er Au
3 5
Cartesian
-2.299 3.982 0.000
1.419 2.457 0.000
4.598 0.000 0.000
-0.862 1.493 1.842
1.724 0.000 1.842
0.000 4.292 1.842
3.717 2.146 1.842
2.855 4.946 1.842
```


Density functional theory data (GGA-PBE) for a relaxed structure of Er5Au3.

## Properties
The calculation puts the energy of formation from the pure elements at -657 meV per atom. As for the space group: I4/mcm, No. 140.

Structure (POSCAR):
```
Er5Au3
1.0
-3.675 3.675 7.506
3.675 -3.675 7.506
3.675 3.675 -7.506
Er Au
10 6
Cartesian
0.000 0.000 0.000
4.901 1.225 -2.272
1.225 2.450 -2.272
4.901 1.225 2.272
1.225 2.450 2.272
0.000 0.000 7.506
2.450 1.225 5.234
-1.225 2.450 5.234
2.450 1.225 9.779
-1.225 2.450 9.779
2.671 1.004 0.000
0.000 0.000 3.753
2.671 -1.004 7.506
1.004 4.679 0.000
0.000 0.000 11.260
1.004 2.671 7.506
```


Density functional theory data (GGA-PBE) for a relaxed structure of EuErAu.

## Properties
The calculation puts the energy of formation from the pure elements at -395 meV per atom. As for the space group: P3m1, No. 156.

Structure (POSCAR):
```
EuErAu
1.0
4.943 0.000 0.000
-2.471 4.280 0.000
0.000 0.000 4.135
Eu Er Au
1 1 1
Cartesian
0.000 0.000 0.000
2.471 1.427 2.107
0.000 2.854 1.798
```


Density functional theory data (GGA-PBE) for a relaxed structure of Eu2ErAu.

## Properties
The calculation puts the energy of formation from the pure elements at -311 meV per atom. As for the space group: P4/mmm, No. 123.

Structure (POSCAR):
```
Eu2ErAu
1.0
3.740 0.000 0.000
0.000 3.740 0.000
0.000 0.000 8.926
Eu Er Au
2 1 1
Cartesian
0.000 0.000 1.810
0.000 0.000 7.117
1.870 1.870 4.463
1.870 1.870 0.000
```


Density functional theory data (GGA-PBE) for a relaxed structure of EuErAu.

## Properties
The calculation puts the energy of formation from the pure elements at -544 meV per atom. As for the space group: I4mm, No. 107.

Structure (POSCAR):
```
EuErAu
1.0
-1.837 1.837 6.443
1.837 -1.837 6.443
1.837 1.837 -6.443
Eu Er Au
1 1 1
Cartesian
0.000 0.000 0.000
0.000 0.000 3.521
0.000 0.000 8.535
```


Density functional theory data (GGA-PBE) for a relaxed structure of EuErAu.

## Properties
The calculation puts the energy of formation from the pure elements at -410 meV per atom. As for the space group: F-43m, No. 216.

Structure (POSCAR):
```
EuErAu
1.0
0.000 3.578 3.578
3.578 0.000 3.578
3.578 3.578 0.000
Eu Er Au
1 1 1
Cartesian
0.000 0.000 0.000
3.578 3.578 3.578
1.789 1.789 1.789
```


Density functional theory data (GGA-PBE) for a relaxed structure of Eu2ErAu.

## Properties
The calculation puts the energy of formation from the pure elements at -40 meV per atom. As for the space group: R-3m, No. 166.

Structure (POSCAR):
```
Eu2ErAu
1.0
1.858 1.072 11.273
-1.858 1.072 11.273
0.000 -2.145 11.273
Eu Er Au
2 1 1
Cartesian
0.000 0.000 3.445
0.000 0.000 30.374
0.000 0.000 0.000
0.000 0.000 16.909
```


Density functional theory data (GGA-PBE) for a relaxed structure of EuErGeAu.

## Properties
The calculation puts the energy of formation from the pure elements at -740 meV per atom. As for the space group: F-43m, No. 216.

Structure (POSCAR):
```
EuErGeAu
1.0
0.000 3.643 3.643
3.643 0.000 3.643
3.643 3.643 0.000
Eu Er Ge Au
1 1 1 1
Cartesian
0.000 0.000 0.000
3.643 3.643 3.643
1.822 1.822 1.822
5.465 5.465 5.465
```


Density functional theory data (GGA-PBE) for a relaxed structure of EuErHgAu.

## Properties
The calculation puts the energy of formation from the pure elements at -619 meV per atom. As for the space group: F-43m, No. 216.

Structure (POSCAR):
```
EuErHgAu
1.0
0.000 3.710 3.710
3.710 0.000 3.710
3.710 3.710 0.000
Eu Er Hg Au
1 1 1 1
Cartesian
0.000 0.000 0.000
3.710 3.710 3.710
5.564 5.564 5.564
1.855 1.855 1.855
```


Density functional theory data (GGA-PBE) for a relaxed structure of EuErInAu.

## Properties
The calculation puts the energy of formation from the pure elements at -566 meV per atom. As for the space group: F-43m, No. 216.

Structure (POSCAR):
```
EuErInAu
1.0
0.000 3.744 3.744
3.744 0.000 3.744
3.744 3.744 0.000
Eu Er In Au
1 1 1 1
Cartesian
0.000 0.000 0.000
3.744 3.744 3.744
5.616 5.616 5.616
1.872 1.872 1.872
```


Density functional theory data (GGA-PBE) for a relaxed structure of EuErIrAu.

## Properties
The calculation puts the energy of formation from the pure elements at -657 meV per atom. As for the space group: F-43m, No. 216.

Structure (POSCAR):
```
EuErIrAu
1.0
0.000 3.537 3.537
3.537 0.000 3.537
3.537 3.537 0.000
Eu Er Ir Au
1 1 1 1
Cartesian
0.000 0.000 0.000
3.537 3.537 3.537
5.305 5.305 5.305
1.768 1.768 1.768
```


Density functional theory data (GGA-PBE) for a relaxed structure of LiEuErAu.

## Properties
The calculation puts the energy of formation from the pure elements at -359 meV per atom. As for the space group: F-43m, No. 216.

Structure (POSCAR):
```
LiEuErAu
1.0
0.000 3.669 3.669
3.669 0.000 3.669
3.669 3.669 0.000
Li Eu Er Au
1 1 1 1
Cartesian
0.000 0.000 0.000
5.504 5.504 5.504
1.835 1.835 1.835
3.669 3.669 3.669
```


Density functional theory data (GGA-PBE) for a relaxed structure of EuErNiAu.

## Properties
The calculation puts the energy of formation from the pure elements at -451 meV per atom. As for the space group: F-43m, No. 216.

Structure (POSCAR):
```
EuErNiAu
1.0
0.000 3.546 3.546
3.546 0.000 3.546
3.546 3.546 0.000
Eu Er Ni Au
1 1 1 1
Cartesian
0.000 0.000 0.000
3.546 3.546 3.546
1.773 1.773 1.773
5.319 5.319 5.319
```


Density functional theory data (GGA-PBE) for a relaxed structure of EuErSbAu.

## Properties
The value obtained for the uncorrected formation energy is -0.790 eV per atom. As for the space group: F-43m, No. 216.

Structure (POSCAR):
```
EuErSbAu
1.0
0.000 3.740 3.740
3.740 0.000 3.740
3.740 3.740 0.000
Eu Er Sb Au
1 1 1 1
Cartesian
0.000 0.000 0.000
3.740 3.740 3.740
1.870 1.870 1.870
5.611 5.611 5.611
```


Density functional theory data (GGA-PBE) for a relaxed structure of EuErSnAu.

## Properties
The calculation puts the energy of formation from the pure elements at -722 meV per atom. As for the space group: F-43m, No. 216.

Structure (POSCAR):
```
EuErSnAu
1.0
0.000 3.749 3.749
3.749 0.000 3.749
3.749 3.749 0.000
Eu Er Sn Au
1 1 1 1
Cartesian
0.000 0.000 0.000
3.749 3.749 3.749
5.623 5.623 5.623
1.874 1.874 1.874
```


no.,calculated volume (A^3/atom)
1,21.183
2,29.409
3,19.328
4,24.409
5,20.791
6,22.044
7,25.347
8,29.159
9,31.213
10,28.984
11,30.533
12,33.687
13,24.179
14,25.524
15,26.241
16,22.119
17,24.702
18,22.296
19,26.164
20,26.340